First-principles (PBEsol) data for ScInOs2 after structural relaxation, as listed in Alexandria via LeMat-Bulk.

## Properties
As for the size of the total moment: 0.00 μB/f.u. For the formation energy from the elements, the calculation gives 269 meV per atom. Its space-group type is R3m.

Structure (POSCAR):
```
ScInOs2
1.0
-1.573 1.475 1.984
-2.839 0.541 -0.488
-3.666 -7.165 4.584
Sc In Os
1 1 2
Cartesian
-4.089 -2.753 3.133
-1.984 -1.162 1.455
-6.081 -3.942 4.602
-3.629 -7.031 4.515
```



First-principles (PBEsol) data for Ca2Mg3Zn after structural relaxation, as listed in Alexandria via LeMat-Bulk.

## Properties
The offset from the most stable computed form is 0.000 eV per atom. As for the size of the total moment: 0.00 μB/f.u. For the formation energy from the elements, the calculation gives -150 meV per atom. Its space-group type is P6_3/mmc.

Structure (POSCAR):
```
Ca2Mg3Zn
1.0
6.066 0.000 0.000
-3.033 5.253 0.000
0.000 0.000 9.447
Ca Zn Mg
4 2 6
Cartesian
0.000 3.502 5.278
0.000 3.502 8.893
3.033 1.751 4.169
3.033 1.751 0.554
0.000 0.000 0.000
0.000 0.000 4.723
1.494 0.863 7.085
-1.539 4.391 2.362
4.572 0.863 7.085
0.000 1.725 2.362
3.033 3.528 7.085
1.539 4.391 2.362
```



First-principles (PBEsol) data for Sb2TeAsC after structural relaxation, as listed in Alexandria via LeMat-Bulk.

## Properties
As for the size of the total moment: 0.00 μB/f.u. The energy relative to the elements, uncorrected is 0.97 eV per atom. Its space-group type is P4/mmm.

Structure (POSCAR):
```
Sb2TeAsC
1.0
4.765 0.000 0.000
0.000 4.765 0.000
0.000 0.000 4.663
Sb C As Te
2 1 1 1
Cartesian
0.000 2.383 0.000
2.383 0.000 0.000
0.000 0.000 0.000
2.383 2.383 2.331
0.000 0.000 2.331
```



First-principles (PBEsol) data for YTaZn2 after structural relaxation, as listed in Alexandria via LeMat-Bulk.

## Properties
As for the size of the total moment: 0.00 μB/f.u. For the formation energy from the elements, the calculation gives 23 meV per atom. Its space-group type is Pmm2.

Structure (POSCAR):
```
YTaZn2
1.0
-0.148 1.639 -2.520
0.783 -4.000 -2.648
-4.792 -0.786 -0.230
Zn Y Ta
2 1 1
Cartesian
-1.530 -0.860 -3.615
-4.329 0.745 -2.406
-3.852 -2.073 -2.470
-1.856 0.320 -1.032
```



First-principles (PBEsol) data for MgHg3Sb after structural relaxation, as listed in Alexandria via LeMat-Bulk.

## Properties
As for the size of the total moment: 0.00 μB/f.u. The energy relative to the elements, uncorrected is 0.34 eV per atom. Its space-group type is Pm-3m.

Structure (POSCAR):
```
MgHg3Sb
1.0
5.558 0.000 0.000
0.000 5.558 0.000
0.000 0.000 5.558
Hg Sb Mg
3 1 1
Cartesian
0.000 2.779 0.000
2.779 0.000 0.000
0.000 0.000 2.779
0.000 0.000 0.000
2.779 2.779 2.779
```



First-principles (PBEsol) data for LaH2F after structural relaxation, as listed in Alexandria via LeMat-Bulk.

## Properties
As for the size of the total moment: 0.00 μB/f.u. The calculated total energy comes out at -38.12 eV for the cell shown. Its space-group type is I-42d.

Structure (POSCAR):
```
LaH2F
1.0
3.685 0.000 0.000
0.000 3.685 0.000
-1.842 -1.842 7.695
F H La
2 4 2
Cartesian
1.842 1.842 0.000
1.842 0.000 3.848
-0.921 -1.212 5.772
0.630 2.764 1.924
0.921 1.212 5.772
3.054 0.921 1.924
0.000 0.000 0.000
0.000 1.842 3.848
```



First-principles (PBEsol) data for ZnGeTe2 after structural relaxation, as listed in Alexandria via LeMat-Bulk.

## Properties
As for the size of the total moment: 0.00 μB/f.u. The energy relative to the elements, uncorrected is 0.23 eV per atom. Its space-group type is R-3m.

Structure (POSCAR):
```
ZnGeTe2
1.0
3.546 0.000 0.000
1.773 3.071 0.000
1.773 1.024 9.459
Te Ge Zn
2 1 1
Cartesian
5.319 3.071 2.921
1.773 1.024 6.537
0.000 0.000 0.000
3.546 2.047 4.729
```



First-principles (PBEsol) data for LiSbTe2Pb after structural relaxation, as listed in Alexandria via LeMat-Bulk.

## Properties
As for the size of the total moment: 0.66 μB/f.u. The energy relative to the elements, uncorrected is 0.46 eV per atom. Its space-group type is P4/mmm.

Structure (POSCAR):
```
LiSbTe2Pb
1.0
-3.482 -2.607 -3.642
-2.151 -3.280 4.405
-4.130 4.084 1.025
Te Sb Li Pb
2 1 1 1
Cartesian
-2.065 2.042 0.513
-1.075 -1.640 2.202
-1.741 -1.304 -1.821
-4.882 -0.902 0.894
0.000 0.000 0.000
```



First-principles (PBEsol) data for CaBeRe2 after structural relaxation, as listed in Alexandria via LeMat-Bulk.

## Properties
As for the size of the total moment: 0.00 μB/f.u. For the formation energy from the elements, the calculation gives 720 meV per atom. Its space-group type is P2/m.

Structure (POSCAR):
```
CaBeRe2
1.0
-2.173 1.294 -0.902
-2.297 -0.943 4.180
2.383 4.327 0.469
Re Ca Be
2 1 1
Cartesian
0.000 0.000 0.000
-2.235 0.176 1.639
0.043 1.692 2.324
0.105 2.811 -0.217
```



First-principles (PBEsol) data for Si2W2I after structural relaxation, as listed in Alexandria via LeMat-Bulk.

## Properties
As for the size of the total moment: 0.00 μB/f.u. The energy relative to the elements, uncorrected is 0.62 eV per atom. Its space-group type is I4/mmm.

Structure (POSCAR):
```
Si2W2I
1.0
4.439 0.000 0.000
0.000 4.439 0.000
-2.220 -2.220 4.585
W I Si
2 1 2
Cartesian
0.000 2.220 2.292
2.220 0.000 2.292
0.000 0.000 0.000
0.000 0.000 3.417
2.220 2.220 1.168
```



First-principles (PBEsol) data for FeCu2Si after structural relaxation, as listed in Alexandria via LeMat-Bulk.

## Properties
As for the size of the total moment: 1.18 μB/f.u. The energy relative to the elements, uncorrected is -0.12 eV per atom. Its space-group type is Amm2.

Structure (POSCAR):
```
FeCu2Si
1.0
2.540 0.000 0.000
0.000 3.679 0.000
-1.270 0.000 4.808
Fe Cu Si
1 2 1
Cartesian
1.270 0.000 4.058
0.000 0.000 1.768
1.270 1.840 0.767
0.000 1.840 3.235
```



First-principles (PBEsol) data for K2CoH4I4O14 after structural relaxation, as listed in Alexandria via LeMat-Bulk.

## Properties
The offset from the most stable computed form is 0.003 eV per atom. As for the size of the total moment: 3.00 μB/f.u. Its space-group type is C2.

Structure (POSCAR):
```
K2CoH4I4O14
1.0
-4.181 -2.595 6.058
3.213 -4.843 -5.209
7.008 3.079 1.412
H O K I Co
4 14 2 4 1
Cartesian
4.113 -2.695 -2.122
1.043 -0.239 4.603
5.623 -2.792 -1.251
1.626 -0.497 3.006
6.919 -3.238 -0.515
4.652 -1.176 2.170
1.633 -1.170 -0.948
-0.836 -2.871 3.046
8.373 -2.242 -2.661
3.894 -4.188 0.636
1.181 -4.771 0.271
1.974 -3.023 2.236
7.004 -0.511 -0.897
4.271 0.236 -0.155
1.265 -0.901 3.865
4.935 -2.226 -1.745
2.165 -0.022 1.607
2.726 -2.950 -2.777
-0.845 -6.490 0.740
-0.334 -2.564 0.292
3.408 -1.098 0.814
-2.344 -3.914 3.287
2.443 -4.712 1.612
8.191 -1.927 -0.858
1.012 -2.847 4.087
```